# TiGeN2F, relaxed, DFT PBE-GGA
# - DOS(E_F) (states/eV/cell) = 2.56
# - offset from the most stable computed form (meV/atom) = 436
# - energy relative to the elements, uncorrected (eV per formula unit) = -0.58
# - volume (A^3/atom) = 10.799
# - crystal system = tetragonal
data_TiGeN2F
_chemical_formula_sum 'Ti1 Ge1 N2 F1'
_space_group_name_H-M_alt 'P 4/m m m'
_space_group_IT_number 123
_space_group_name_Hall '-P 4 2'
_cell_length_a 3.827
_cell_length_b 3.827
_cell_length_c 3.686
_cell_angle_alpha 90.00
_cell_angle_beta 90.00
_cell_angle_gamma 90.00
loop_
_atom_site_label
_atom_site_type_symbol
_atom_site_fract_x
_atom_site_fract_y
_atom_site_fract_z
Ti1 Ti 0.000 0.000 0.000
Ge1 Ge 0.500 0.500 0.500
N1 N 0.000 0.500 0.500
F1 F 0.500 0.500 0.000